# KTl2

A relaxed KTl2 crystal (PBE, Alexandria).

excess energy over the best structure of this formula in the dataset: 18 meV/atom
formation energy: -96.1 meV/atom

Cell lengths 3.9606, 3.9606, 13.3090 Å; angles 90.00, 90.00, 90.00 degrees
Space group I4/mmm (No. 139)
One atom of each set of equivalent atoms:
K (0.0000, 0.0000, 0.0000) x2
Tl (0.0000, 0.0000, 0.3180) x4


# CsIn2Sb

A relaxed CsIn2Sb crystal (PBE, Alexandria).

uncorrected formation energy: -0.06 eV per atom

Cell lengths 9.3896, 9.3896, 7.4588 Å; angles 90.00, 90.00, 90.00 degrees
Space group I-42d (No. 122)
One atom of each set of equivalent atoms:
Cs (0.0000, 0.0000, 0.0000) x4
In (0.1803, 0.2500, 0.6250) x8
Sb (0.0000, 0.0000, 0.5000) x4


# K3Cd2In7

A relaxed K3Cd2In7 crystal (PBE, Alexandria).

formation energy: -113.2 meV/atom

Cell lengths 6.5037, 6.5037, 29.9386 Å; angles 90.00, 90.00, 120.00 degrees
Space group R-3m (No. 166, hexagonal axes)
One atom of each set of equivalent atoms:
K (0.0000, 0.0000, 0.0000) x3
K (0.0000, 0.0000, 0.1422) x6
Cd (0.0000, 0.0000, 0.3360) x6
In (0.0000, 0.0000, 0.5000) x3
In (0.0088, 0.5044, 0.9182) x18


# EuPaHgBi

A relaxed EuPaHgBi crystal (PBE, Alexandria).

formation energy: -154.5 meV/atom

Cell lengths 7.7409, 7.7409, 7.7409 Å; angles 90.00, 90.00, 90.00 degrees
Space group F-43m (No. 216)
One atom of each set of equivalent atoms:
Eu (0.0000, 0.0000, 0.0000) x4
Pa (0.0000, 0.0000, 0.5000) x4
Hg (0.2500, 0.2500, 0.2500) x4
Bi (0.2500, 0.2500, 0.7500) x4